Material: LaHS2
Method: DFT, PBE-GGA
State: optimized geometry

Calculated values
Offset from the most stable computed form   0.042 eV/atom
Density   3.1 g/cm3
Crystal system   monoclinic

Structure (CIF):
```
data_LaHS2
_cell_length_a 7.834
_cell_length_b 8.248
_cell_length_c 7.578
_cell_angle_alpha 90.00
_cell_angle_beta 116.00
_cell_angle_gamma 90.00
_space_group_name_H-M_alt 'P 1 21/c 1'
_space_group_IT_number 14
loop_
_space_group_symop_operation_xyz
'x,y,z'
'-x,-y,-z'
'-x,y+1/2,-z+1/2'
'x,-y+1/2,z+1/2'
loop_
_atom_site_label
_atom_site_type_symbol
_atom_site_fract_x
_atom_site_fract_y
_atom_site_fract_z
_atom_site_occupancy
La1 La 0.219 0.112 0.241 1
H1 H 0.403 0.735 0.362 1
S1 S 0.067 0.112 0.830 1
S2 S 0.492 0.156 0.682 1
```